Entry from Alexandria via LeMat-Bulk: a geometry-optimized Dy3ThCo2 structure (GGA-PBE).

```
data_Dy3ThCo2
_chemical_formula_sum 'Dy6 Th2 Co4'
_cell_length_a 3.762
_cell_length_b 8.455
_cell_length_c 9.853
_cell_angle_alpha 78.04
_cell_angle_beta 78.99
_cell_angle_gamma 77.15
_space_group_name_H-M_alt 'P 1'
_space_group_IT_number 1
loop_
_space_group_symop_operation_xyz
'x,y,z'
loop_
_atom_site_label
_atom_site_type_symbol
_atom_site_fract_x
_atom_site_fract_y
_atom_site_fract_z
Dy1 Dy 0.418 0.724 0.441
Dy2 Dy 0.582 0.276 0.559
Dy3 Dy 0.583 0.779 0.055
Dy4 Dy 0.845 0.059 0.251
Dy5 Dy 0.155 0.941 0.749
Dy6 Dy 0.417 0.221 0.945
Co1 Co 0.767 0.913 0.552
Co2 Co 0.236 0.593 0.935
Co3 Co 0.764 0.407 0.065
Co4 Co 0.233 0.087 0.448
Th1 Th 0.162 0.433 0.244
Th2 Th 0.838 0.567 0.756
```

***

Entry from Alexandria via LeMat-Bulk: a geometry-optimized Dy4Th3Co2 structure (GGA-PBE).

```
data_Dy4Th3Co2
_chemical_formula_sum 'Dy4 Th3 Co2'
_cell_length_a 3.700
_cell_length_b 8.819
_cell_length_c 8.689
_cell_angle_alpha 115.68
_cell_angle_beta 102.29
_cell_angle_gamma 90.00
_space_group_name_H-M_alt 'P 1'
_space_group_IT_number 1
loop_
_space_group_symop_operation_xyz
'x,y,z'
loop_
_atom_site_label
_atom_site_type_symbol
_atom_site_fract_x
_atom_site_fract_y
_atom_site_fract_z
Co1 Co 0.408 0.581 0.817
Co2 Co 0.592 0.419 0.183
Th1 Th 0.000 0.500 0.000
Th2 Th 0.915 0.804 0.831
Th3 Th 0.085 0.196 0.169
Dy1 Dy 0.379 0.120 0.759
Dy2 Dy 0.621 0.880 0.241
Dy3 Dy 0.777 0.356 0.553
Dy4 Dy 0.223 0.644 0.447
```

***

In the order shown, the computed calculated formation energy values come out to -179; -137 meV/atom.
In the order shown, the computed VASP energy values come out to -6.0854; -6.2346 eV/atom.